[1]
The following is a GGA-PBE calculation of a geometry-optimized Ba2NbF structure, from the Alexandria database.

The structure in extended XYZ format:
```
4
Lattice="0.000 4.093 4.093 4.093 0.000 4.093 4.093 4.093 0.000" Properties=species:S:1:pos:R:3 pbc="T T T"
Ba 2.046 2.046 2.046
Ba 6.139 6.139 6.139
Nb 0.000 0.000 0.000
F 4.093 4.093 4.093
```

Summary:
The value obtained for the density of states at the Fermi level is 1.510 states/eV per atom. Its final energy is -3.983 eV per atom. As for the density: 4.7 Mg/m³. The value obtained for the volume is 34.28 Å³ per atom. The excess energy over the best structure of this formula in the dataset comes out at 1.736 eV/f.u. Its symmetry is No. 225.


[2]
The following is a GGA-PBE calculation of a geometry-optimized Rb3Li5F12 structure, from the Alexandria database.

The structure in extended XYZ format:
```
80
Lattice="-6.751 6.751 6.751 6.751 -6.751 6.751 6.751 6.751 -6.751" Properties=species:S:1:pos:R:3 pbc="T T T"
Rb 3.376 1.688 0.000
Rb 6.751 3.376 -1.688
Rb 1.688 0.000 3.376
Rb 8.439 0.000 3.376
Rb 0.000 3.376 1.688
Rb 3.376 -1.688 6.751
Rb 3.376 8.439 0.000
Rb 6.751 3.376 5.063
Rb -1.688 6.751 3.376
Rb 5.063 6.751 3.376
Rb 0.000 3.376 8.439
Rb 3.376 5.063 6.751
Li 0.000 0.000 0.000
Li 3.376 3.376 -3.376
Li 3.376 -3.376 3.376
Li 6.751 0.000 0.000
Li 10.127 1.688 0.000
Li 6.751 -3.376 5.063
Li 5.063 6.751 -3.376
Li 5.063 0.000 3.376
Li 3.376 5.063 0.000
Li 6.751 3.376 1.688
Li -3.376 3.376 3.376
Li 0.000 6.751 0.000
Li 0.000 0.000 6.751
Li 3.376 3.376 3.376
Li 0.000 3.376 5.063
Li 3.376 1.688 6.751
Li 1.688 6.751 3.376
Li 1.688 0.000 10.127
Li 0.000 10.127 1.688
Li -3.376 5.063 6.751
F 5.282 -3.880 3.949
F 11.596 0.574 -0.504
F 8.657 0.574 0.504
F 8.221 -2.871 3.949
F 9.622 2.802 -1.469
F 7.255 -4.845 6.177
F 3.949 5.282 -3.880
F 6.177 -0.504 1.906
F 6.177 7.255 -4.845
F 3.949 -1.469 3.880
F 3.880 3.949 -1.469
F 6.247 1.906 0.574
F 10.631 2.802 1.469
F 6.247 -1.906 6.177
F 6.177 6.247 -1.906
F 3.949 1.469 2.871
F 3.949 8.221 -2.871
F 6.177 0.504 4.845
F 2.871 3.949 1.469
F 7.255 4.845 0.574
F 1.906 6.177 -0.504
F 8.221 2.871 2.802
F 4.845 6.177 0.504
F 5.282 3.880 2.802
F 1.469 2.871 3.949
F 1.906 0.574 6.247
F -1.469 3.880 3.949
F 4.845 0.574 7.255
F -0.504 1.906 6.177
F 3.880 2.802 5.282
F 0.574 6.247 1.906
F 2.802 -1.469 9.622
F 2.802 5.282 3.880
F 0.574 0.504 8.657
F 0.504 8.657 0.574
F -3.880 3.949 5.282
F 0.504 4.845 6.177
F 2.871 2.802 8.221
F 2.802 8.221 2.871
F 0.574 -0.504 11.596
F 0.574 7.255 4.845
F 2.802 1.469 10.631
F -0.504 11.596 0.574
F -2.871 3.949 8.221
F -1.469 9.622 2.802
F -1.906 6.177 6.247
F -4.845 6.177 7.255
F 1.469 10.631 2.802
```

Summary:
The value obtained for the density of states at the Fermi level is 1.771 states/eV per atom. Its final energy is -3.929 eV per atom. As for the density: 2.8 Mg/m³. The value obtained for the volume is 15.38 Å³ per atom. Its symmetry is No. 230.


[3]
The following is a GGA-PBE calculation of a geometry-optimized SmCuAg structure, from the Alexandria database.

The structure in extended XYZ format:
```
3
Lattice="-1.828 1.828 4.688 1.828 -1.828 4.688 1.828 1.828 -4.688" Properties=species:S:1:pos:R:3 pbc="T T T"
Sm 0.000 0.000 0.000
Cu 0.000 0.000 3.086
Ag 0.000 0.000 6.413
```

Summary:
The value obtained for the density of states at the Fermi level is 0.519 states/eV per atom. Its final energy is -4.054 eV per atom. As for the density: 8.5 Mg/m³. The calculation puts the energy of formation at -0.165 eV per atom. The value obtained for the volume is 20.89 Å³ per atom. The excess energy over the best structure of this formula in the dataset comes out at 0.265 eV/f.u. Its symmetry is No. 107.


[4]
The following is a GGA-PBE calculation of a geometry-optimized ZrRuSeBr2 structure, from the Alexandria database.

The structure in extended XYZ format:
```
5
Lattice="5.303 0.000 0.000 0.000 5.303 0.000 0.000 0.000 5.218" Properties=species:S:1:pos:R:3 pbc="T T T"
Zr 0.000 0.000 0.000
Ru 2.652 2.652 2.609
Se 0.000 0.000 2.609
Br 0.000 2.652 0.000
Br 2.652 0.000 0.000
```

Summary:
The value obtained for the density of states at the Fermi level is 0.499 states/eV per atom. Its final energy is -4.660 eV per atom. As for the density: 4.9 Mg/m³. The value obtained for the volume is 29.35 Å³ per atom. The excess energy over the best structure of this formula in the dataset comes out at 0.000 eV/f.u. Its symmetry is No. 123.


[5]
The following is a GGA-PBE calculation of a geometry-optimized HoTeF structure, from the Alexandria database.

The structure in extended XYZ format:
```
3
Lattice="4.104 0.000 0.000 -2.052 3.554 0.000 0.000 0.000 4.328" Properties=species:S:1:pos:R:3 pbc="T T T"
Ho 0.000 0.000 0.000
Te 2.052 1.185 2.164
F 0.000 2.369 0.000
```

Summary:
Its final energy is -5.739 eV per atom. As for the density: 8.2 Mg/m³. The value obtained for the volume is 21.04 Å³ per atom. The excess energy over the best structure of this formula in the dataset comes out at 0.149 eV/f.u. Its symmetry is No. 187.


[6]
The following is a GGA-PBE calculation of a geometry-optimized Ce2PrThP4 structure, from the Alexandria database.

The structure in extended XYZ format:
```
8
Lattice="7.155 0.000 0.000 0.000 4.134 0.000 -2.387 0.000 6.753" Properties=species:S:1:pos:R:3 pbc="T T T"
Ce 0.000 0.000 0.000
Ce 3.578 2.067 0.000
Pr -1.194 2.067 3.377
Th 2.384 0.000 3.377
P 1.214 2.067 1.660
P 0.024 0.000 5.113
P 4.744 0.000 1.640
P 3.555 2.067 5.094
```

Summary:
The value obtained for the density of states at the Fermi level is 1.310 states/eV per atom. Its final energy is -7.245 eV per atom. As for the density: 6.5 Mg/m³. The calculation puts the energy of formation at -1.532 eV per atom. The value obtained for the volume is 24.97 Å³ per atom. Its symmetry is No. 10.